The following is a PBE calculation of a relaxed Cu3Ag2 crystal, from OQMD via LeMat-Bulk.

Output
ΔH_f (0 K) ... 43 kJ/mol of formula units
Excess energy over the best structure of this formula in the dataset ... 48 meV/atom
Energy ... -3.270 eV/atom

Cell lengths 14.1382, 3.6755, 5.6409 Å; angles 90.00, 101.84, 90.00 degrees
Last column: nearest neighbours and their distance in Å.
Space group C2/m (No. 12)
One atom of each set of equivalent atoms:
Cu  0.0025  0.0000  0.2754  6 Cu 2.55-2.73, 5 Ag 2.71-2.81
Cu  0.0944  0.5000  0.5401  8 Cu 2.55-2.85, 3 Ag 2.68-2.71
Cu  0.1997  0.0000  0.3653  6 Cu 2.61-2.85, 5 Ag 2.63-2.72
Ag  0.0978  0.5000  0.0608  8 Cu 2.71-2.93, 4 Ag 2.71-2.84
Ag  0.1967  0.0000  0.8298  6 Cu 2.63-2.76, 5 Ag 2.79-2.85

The following is a PBE calculation of a relaxed Cu3Ag2 crystal, from OQMD via LeMat-Bulk.

Output
ΔH_f (0 K) ... 46 kJ/mol of formula units
Excess energy over the best structure of this formula in the dataset ... 54 meV/atom
Energy ... -3.264 eV/atom

Cell lengths 22.2630, 2.7674, 4.6580 Å; angles 90.00, 96.48, 90.00 degrees
Last column: nearest neighbours and their distance in Å.
Space group C2/m (No. 12)
One atom of each set of equivalent atoms:
Cu  0.0000  0.0000  0.0000  8 Cu 2.58-2.77, 4 Ag 2.70
Cu  0.0000  0.5000  0.5000  10 Cu 2.56-2.77, 2 Ag 2.69
Cu  0.0916  0.0000  0.7063  5 Cu 2.56-2.77, 6 Ag 2.68-2.74
Cu  0.2033  0.0000  0.3953  4 Cu 2.60-2.77, 7 Ag 2.67-2.75
Ag  0.0990  0.5000  0.2177  9 Cu 2.68-2.75, 3 Ag 2.77-2.80
Ag  0.1956  0.5000  0.8810  7 Cu 2.67-2.75, 5 Ag 2.77-2.90

The following is a PBE calculation of a relaxed CuAg crystal, from OQMD via LeMat-Bulk.

Output
ΔH_f (0 K) ... 21 kJ/mol of formula units
Energy ... -3.162 eV/atom

Cell lengths 9.6477, 5.5621, 4.7943 Å; angles 90.00, 110.87, 90.00 degrees
Last column: nearest neighbours and their distance in Å.
Space group Cm (No. 8)
One atom of each set of equivalent atoms:
Cu  0.0000  0.0000  0.0000  5 Cu 2.58-2.83, 7 Ag 2.74-2.82
Cu  0.0015  0.2372  0.5229  6 Cu 2.64-2.92, 6 Ag 2.73-2.85
Cu  0.2631  0.5000  0.5291  3 Cu 2.58-2.66, 7 Ag 2.72-2.79
Ag  0.0093  0.5000  0.0394  7 Cu 2.72-2.85, 5 Ag 2.77-2.88
Ag  0.2480  0.0000  0.5066  7 Cu 2.74-2.83, 5 Ag 2.77-2.88
Ag  0.2550  0.2549  0.0153  6 Cu 2.73-2.82, 6 Ag 2.73-2.84

The following is a PBE calculation of a relaxed Cu3Ag7 crystal, from OQMD via LeMat-Bulk.

Output
ΔH_f (0 K) ... 79 kJ/mol of formula units
Excess energy over the best structure of this formula in the dataset ... 53 meV/atom
Energy ... -3.010 eV/atom

Cell lengths 22.9856, 2.8932, 4.9301 Å; angles 90.00, 94.54, 90.00 degrees
Last column: nearest neighbours and their distance in Å.
Space group Cm (No. 8)
One atom of each set of equivalent atoms:
Cu  0.0000  0.0000  0.0000  6 Ag 2.71-2.75, 6 Cu 2.85-2.89
Cu  0.9995  0.5000  0.4972  6 Ag 2.72-2.76, 6 Cu 2.85-2.89
Cu  0.3025  0.0000  0.0997  10 Ag 2.81-2.89, 2 Cu 2.89
Ag  0.0943  0.5000  0.1964  3 Cu 2.72-2.73, 9 Ag 2.85-2.99
Ag  0.0948  0.0000  0.6973  3 Cu 2.74, 9 Ag 2.85-2.99
Ag  0.2005  0.0000  0.3967  11 Ag 2.83-2.94, 1 Cu 2.86
Ag  0.2032  0.5000  0.9035  2 Cu 2.81, 10 Ag 2.83-2.99
Ag  0.3032  0.5000  0.5995  8 Ag 2.84-2.89, 4 Cu 2.86
Ag  0.4033  0.5000  0.2961  5 Cu 2.75-2.84, 7 Ag 2.83-2.89
Ag  0.4060  0.0000  0.8031  4 Cu 2.71-2.89, 8 Ag 2.83-2.89